[1]
DFT (PBE) results for NiSb2Pt after structural relaxation.

## Properties
Total DFT energy (no corrections) ... -5.021 eV/atom
Relative energy among the computed polymorphs ... 0.224 eV/atom
SG ... I-42d

a = 6.3245 Å, b = 6.3245 Å, c = 6.5980 Å
α = 61.36°, β = 61.36°, γ = 90.00°
Positions (direct):
1 Sb 0.6075 0.1250 0.2500
2 Sb 0.1425 0.6250 0.2500
3 Sb 0.3750 0.3925 0.7500
4 Sb 0.8750 0.8575 0.7500
5 Pt 0.0000 0.0000 0.0000
6 Pt 0.7500 0.2500 0.5000
7 Ni 0.5000 0.5000 0.0000
8 Ni 0.2500 0.7500 0.5000



[2]
DFT (PBE) results for SbPbW4 after structural relaxation.

## Properties
Total DFT energy (no corrections) ... -9.125 eV/atom
SG ... F-43m

a = 5.4749 Å, b = 5.4749 Å, c = 5.4749 Å
α = 60.00°, β = 60.00°, γ = 60.00°
Positions (direct):
1 Sb 0.0000 0.0000 0.0000
2 Pb 0.7500 0.7500 0.7500
3 W 0.8743 0.3752 0.3752
4 W 0.3752 0.3752 0.8743
5 W 0.3752 0.8743 0.3752
6 W 0.3752 0.3752 0.3752



[3]
DFT (PBE) results for Ca2BeTlPd after structural relaxation.

## Properties
Formation energy ... 198 meV/atom
Total DFT energy (no corrections) ... -2.860 eV/atom
SG ... P4/mmm

a = 5.4368 Å, b = 5.2043 Å, c = 5.4368 Å
α = 90.00°, β = 90.00°, γ = 90.00°
Positions (direct):
1 Be 0.5000 0.5000 0.5000
2 Tl 0.0000 0.5000 0.0000
3 Ca 0.0000 0.0000 0.5000
4 Ca 0.5000 0.0000 0.0000
5 Pd 0.0000 0.0000 0.0000



[4]
DFT (PBE) results for ScZn after structural relaxation.

## Properties
Formation energy ... -180 meV/atom
Total DFT energy (no corrections) ... -3.982 eV/atom
SG ... Fddd

a = 10.6974 Å, b = 8.5306 Å, c = 7.1096 Å
α = 90.00°, β = 90.00°, γ = 90.00°
Positions (direct):
1 Sc 0.0000 0.1921 0.0000
2 Sc 0.0000 0.8079 0.0000
3 Sc 0.2500 0.5579 0.2500
4 Sc 0.2500 0.9421 0.2500
5 Sc 0.0000 0.6921 0.5000
6 Sc 0.0000 0.3079 0.5000
7 Sc 0.2500 0.0579 0.7500
8 Sc 0.2500 0.4421 0.7500
9 Sc 0.5000 0.1921 0.5000
10 Sc 0.5000 0.8079 0.5000
11 Sc 0.7500 0.5579 0.7500
12 Sc 0.7500 0.9421 0.7500
13 Sc 0.5000 0.6921 0.0000
14 Sc 0.5000 0.3079 0.0000
15 Sc 0.7500 0.0579 0.2500
16 Sc 0.7500 0.4421 0.2500
17 Zn 0.0000 0.0000 0.3266
18 Zn 0.0000 0.0000 0.6734
19 Zn 0.2500 0.7500 0.9234
20 Zn 0.2500 0.7500 0.5766
21 Zn 0.0000 0.5000 0.8266
22 Zn 0.0000 0.5000 0.1734
23 Zn 0.2500 0.2500 0.4234
24 Zn 0.2500 0.2500 0.0766
25 Zn 0.5000 0.0000 0.8266
26 Zn 0.5000 0.0000 0.1734
27 Zn 0.7500 0.7500 0.4234
28 Zn 0.7500 0.7500 0.0766
29 Zn 0.5000 0.5000 0.3266
30 Zn 0.5000 0.5000 0.6734
31 Zn 0.7500 0.2500 0.9234
32 Zn 0.7500 0.2500 0.5766



Which formula does entry 3 have?
Ca2BeTlPd



Please write out number 2 again, unchanged.
DFT (PBE) results for SbPbW4 after structural relaxation.

## Properties
Total DFT energy (no corrections) ... -9.125 eV/atom
SG ... F-43m

a = 5.4749 Å, b = 5.4749 Å, c = 5.4749 Å
α = 60.00°, β = 60.00°, γ = 60.00°
Positions (direct):
1 Sb 0.0000 0.0000 0.0000
2 Pb 0.7500 0.7500 0.7500
3 W 0.8743 0.3752 0.3752
4 W 0.3752 0.3752 0.8743
5 W 0.3752 0.8743 0.3752
6 W 0.3752 0.3752 0.3752



Which value of total DFT energy (no corrections) does entry 3 give?
-2.860 eV/atom